(1)
The following is a DFT calculation (PBE) of a geometry-optimized NdTm2Zn2Ga2 structure.

Total energy: -25.10 eV per formula unit
Formation energy: -0.398 eV per atom
SG: No. 166
Volume: 22.54 Å³/atom
Theoretical density: 7.920 g/cm3
Size of the total moment: 0.00 μB/f.u.

Geometry as POSCAR:
```
NdTm2Zn2Ga2
1.0
-0.944 4.279 -0.852
-1.366 1.216 -4.072
-9.451 0.412 0.846
Nd Tm Zn Ga
1 2 2 2
direct
0.000 0.000 0.000 Nd
0.129 0.129 0.614 Tm
0.871 0.871 0.386 Tm
0.595 0.595 0.214 Zn
0.405 0.405 0.786 Zn
0.744 0.744 0.769 Ga
0.256 0.256 0.231 Ga
```

***

(2)
The following is a DFT calculation (PBE) of a geometry-optimized NdUGa4 structure.

Total energy: -29.75 eV per formula unit
Formation energy: -0.264 eV per atom
SG: No. 216
Volume: 20.46 Å³/atom
Theoretical density: 8.944 g/cm3
Size of the total moment: 3.15 μB/f.u.

Geometry as POSCAR:
```
NdUGa4
1.0
-1.538 -3.126 -4.357
-0.283 -5.548 0.509
-4.961 -2.551 0.010
Nd U Ga
1 1 4
direct
0.250 0.250 0.250 Nd
0.000 0.000 0.000 U
0.625 0.625 0.124 Ga
0.625 0.124 0.625 Ga
0.625 0.625 0.625 Ga
0.124 0.625 0.625 Ga
```

***

(3)
The following is a DFT calculation (PBE) of a geometry-optimized NdUGa2 structure.

Total energy: -22.15 eV per formula unit
Formation energy: -0.010 eV per atom
SG: No. 166
Volume: 22.66 Å³/atom
Theoretical density: 9.557 g/cm3
Size of the total moment: 1.67 μB/f.u.

Geometry as POSCAR:
```
NdUGa2
1.0
3.184 0.000 0.000
1.592 2.757 0.000
1.592 0.919 10.328
Nd U Ga
1 1 2
direct
0.500 0.500 0.500 Nd
0.000 0.000 0.000 U
0.252 0.252 0.244 Ga
0.748 0.748 0.756 Ga
```